P | Entry from OQMD via LeMat-Bulk: a relaxed BaOsW crystal (GGA-PBE).

abc: 4.612 4.612 4.612
angles: 60.00 60.00 60.00
Positions (direct):
1 W 0.750 0.750 0.750
2 Ba 0.000 0.000 0.000
3 Os 0.250 0.250 0.250

Output
space-group type: F-43m (216)
crystal system: cubic



Q | Entry from OQMD via LeMat-Bulk: a relaxed BaOsW crystal (GGA-PBE).

abc: 4.634 4.634 4.634
angles: 60.00 60.00 60.00
Positions (direct):
1 W 0.000 0.000 0.000
2 Ba 0.250 0.250 0.250
3 Os 0.750 0.750 0.750

Output
space-group type: F-43m (216)
crystal system: cubic



Most stable: Q



P | Entry from OQMD via LeMat-Bulk: a relaxed HfTlAuSe3 crystal (GGA-PBE).

abc: 10.427 3.948 15.643
angles: 90.00 90.00 90.00
Positions (direct):
1 Se 0.230 0.250 0.189
2 Se 0.730 0.250 0.311
3 Se 0.270 0.750 0.689
4 Se 0.009 0.750 0.398
5 Se 0.814 0.250 0.003
6 Se 0.770 0.750 0.811
7 Se 0.491 0.250 0.898
8 Se 0.509 0.750 0.102
9 Se 0.686 0.750 0.503
10 Se 0.991 0.250 0.602
11 Se 0.186 0.750 0.997
12 Se 0.314 0.250 0.497
13 Hf 0.851 0.250 0.456
14 Hf 0.649 0.750 0.956
15 Hf 0.149 0.750 0.544
16 Hf 0.351 0.250 0.044
17 Tl 0.005 0.750 0.189
18 Tl 0.995 0.250 0.811
19 Tl 0.505 0.750 0.311
20 Tl 0.495 0.250 0.689
21 Au 0.287 0.250 0.340
22 Au 0.787 0.250 0.160
23 Au 0.213 0.750 0.840
24 Au 0.713 0.750 0.660

Output
space-group type: Pnma (62)
crystal system: orthorhombic



Q | Entry from OQMD via LeMat-Bulk: a relaxed HfTlAuSe3 crystal (GGA-PBE).

abc: 9.021 9.021 8.859
angles: 97.28 97.28 24.54
Positions (direct):
1 Se 0.000 0.000 0.000
2 Se 0.678 0.678 0.888
3 Se 0.500 0.500 0.500
4 Se 0.322 0.322 0.112
5 Se 0.694 0.694 0.310
6 Se 0.306 0.306 0.690
7 Au 0.549 0.549 0.220
8 Au 0.451 0.451 0.780
9 Hf 0.837 0.837 0.905
10 Hf 0.163 0.163 0.095
11 Tl 0.127 0.127 0.586
12 Tl 0.873 0.873 0.414

Output
space-group type: C2/m (12)
crystal system: monoclinic



Most stable: P



P | Entry from OQMD via LeMat-Bulk: a relaxed NaPrZnSe3 crystal (GGA-PBE).

abc: 14.063 4.167 11.543
angles: 90.00 90.00 90.00
Positions (direct):
1 Pr 0.480 0.250 0.841
2 Pr 0.520 0.750 0.159
3 Pr 0.980 0.250 0.659
4 Pr 0.020 0.750 0.341
5 Se 0.859 0.750 0.766
6 Se 0.593 0.250 0.605
7 Se 0.389 0.250 0.070
8 Se 0.889 0.250 0.430
9 Se 0.907 0.750 0.105
10 Se 0.093 0.250 0.895
11 Se 0.611 0.750 0.930
12 Se 0.641 0.250 0.266
13 Se 0.359 0.750 0.734
14 Se 0.141 0.250 0.234
15 Se 0.407 0.750 0.395
16 Se 0.111 0.750 0.570
17 Na 0.766 0.250 0.929
18 Na 0.734 0.750 0.429
19 Na 0.266 0.250 0.571
20 Na 0.234 0.750 0.071
21 Zn 0.511 0.250 0.406
22 Zn 0.989 0.750 0.906
23 Zn 0.489 0.750 0.594
24 Zn 0.011 0.250 0.094

Output
space-group type: Pnma (62)
crystal system: orthorhombic



Q | Entry from OQMD via LeMat-Bulk: a relaxed NaPrZnSe3 crystal (GGA-PBE).

abc: 7.112 7.112 11.377
angles: 90.00 90.00 34.00
Positions (direct):
1 Na 0.245 0.245 0.750
2 Na 0.755 0.755 0.250
3 Se 0.079 0.079 0.250
4 Se 0.358 0.358 0.078
5 Se 0.921 0.921 0.750
6 Se 0.642 0.642 0.578
7 Se 0.358 0.358 0.422
8 Se 0.642 0.642 0.922
9 Pr 0.000 0.000 0.500
10 Pr 0.000 0.000 0.000
11 Zn 0.466 0.466 0.250
12 Zn 0.534 0.534 0.750

Output
space-group type: Cmcm (63)
crystal system: orthorhombic



Most stable: Q



P | Entry from OQMD via LeMat-Bulk: a relaxed MgZnTeO crystal (GGA-PBE).

abc: 4.456 4.456 9.129
angles: 90.00 90.00 90.00
Positions (direct):
1 Te 0.750 0.250 0.500
2 Te 0.250 0.750 0.500
3 Mg 0.750 0.750 0.717
4 Mg 0.250 0.250 0.283
5 Zn 0.250 0.250 0.884
6 Zn 0.750 0.750 0.116
7 O 0.750 0.750 0.915
8 O 0.250 0.250 0.085

Output
space-group type: P4/nmm (129)
crystal system: tetragonal



Q | Entry from OQMD via LeMat-Bulk: a relaxed MgZnTeO crystal (GGA-PBE).

abc: 6.072 3.726 12.647
angles: 90.00 90.00 90.00
Positions (direct):
1 Mg 0.995 0.750 0.748
2 Mg 0.505 0.250 0.248
3 Mg 0.005 0.250 0.252
4 Mg 0.495 0.750 0.752
5 Te 0.746 0.250 0.602
6 Te 0.754 0.750 0.102
7 Te 0.254 0.750 0.398
8 Te 0.246 0.250 0.898
9 O 0.753 0.250 0.346
10 O 0.747 0.750 0.846
11 O 0.247 0.750 0.654
12 O 0.253 0.250 0.154
13 Zn 0.738 0.750 0.425
14 Zn 0.238 0.750 0.075
15 Zn 0.262 0.250 0.575
16 Zn 0.762 0.250 0.925

Output
space-group type: Pnma (62)
crystal system: orthorhombic



Most stable: Q



P | Entry from OQMD via LeMat-Bulk: a relaxed LiHfAlPd crystal (GGA-PBE).

abc: 4.467 4.467 6.317
angles: 90.00 90.00 90.00
Positions (direct):
1 Al 0.500 0.500 0.000
2 Al 0.000 0.000 0.500
3 Li 0.000 0.500 0.750
4 Li 0.500 0.000 0.250
5 Pd 0.500 0.000 0.750
6 Pd 0.000 0.500 0.250
7 Hf 0.500 0.500 0.500
8 Hf 0.000 0.000 0.000

Output
space-group type: F-43m (216)
crystal system: cubic



Q | Entry from OQMD via LeMat-Bulk: a relaxed LiHfAlPd crystal (GGA-PBE).

abc: 4.476 4.476 4.476
angles: 60.00 60.00 60.00
Positions (direct):
1 Hf 0.000 0.000 0.000
2 Pd 0.500 0.500 0.500
3 Li 0.750 0.750 0.750
4 Al 0.250 0.250 0.250

Output
space-group type: F-43m (216)
crystal system: cubic



Most stable: P



P | Entry from OQMD via LeMat-Bulk: a relaxed CuAg4 crystal (GGA-PBE).

abc: 7.643 7.643 7.993
angles: 105.12 105.12 21.78
Positions (direct):
1 Ag 0.604 0.604 0.066
2 Ag 0.005 0.005 0.752
3 Ag 0.995 0.995 0.248
4 Ag 0.605 0.605 0.538
5 Ag 0.203 0.203 0.843
6 Ag 0.396 0.396 0.934
7 Ag 0.395 0.395 0.462
8 Ag 0.797 0.797 0.157
9 Cu 0.795 0.795 0.638
10 Cu 0.205 0.205 0.362

Output
space-group type: C2/m (12)
crystal system: monoclinic



Q | Entry from OQMD via LeMat-Bulk: a relaxed CuAg4 crystal (GGA-PBE).

abc: 10.100 10.100 5.815
angles: 98.40 98.40 16.59
Positions (direct):
1 Ag 0.500 0.500 0.000
2 Ag 0.304 0.304 0.910
3 Ag 0.900 0.900 0.699
4 Ag 0.500 0.500 0.500
5 Ag 0.698 0.698 0.606
6 Ag 0.302 0.302 0.394
7 Ag 0.100 0.100 0.301
8 Ag 0.696 0.696 0.090
9 Cu 0.902 0.902 0.202
10 Cu 0.098 0.098 0.798

Output
space-group type: C2/m (12)
crystal system: monoclinic



Most stable: P